# 1
The following is a DFT calculation (PBE-GGA) of a relaxed GdSc2As crystal.

Summary:
symmetry	No. 166
formation energy	-539	meV per atom
E_tot	-8.387	eV/atom

Cell: 9.183 9.183 9.183 Å, 23.06 23.06 23.06°
Atoms (fractional coordinates):
Gd 0.000 0.000 0.000
Sc 0.226 0.226 0.226
Sc 0.774 0.774 0.774
As 0.500 0.500 0.500

***

# 2
The following is a DFT calculation (PBE-GGA) of a relaxed Na2HfSiAg crystal.

Summary:
symmetry	No. 123
formation energy (no corrections)	1.13	eV/atom
E_tot	-3.044	eV/atom

Cell: 6.192 6.192 4.940 Å, 90.00 90.00 90.00°
Atoms (fractional coordinates):
Na 0.000 0.500 0.000
Na 0.500 0.000 0.000
Hf 0.000 0.000 0.000
Si 0.000 0.000 0.500
Ag 0.500 0.500 0.500

***

# 3
The following is a DFT calculation (PBE-GGA) of a relaxed Sc3Ag3Pd2 crystal.

Summary:
symmetry	No. 189
formation energy	-535	meV per atom
E_tot	-5.277	eV/atom

Cell: 7.377 7.377 3.245 Å, 90.00 90.00 120.00°
Atoms (fractional coordinates):
Sc 0.000 0.413 0.000
Sc 0.413 0.000 0.000
Sc 0.587 0.587 0.000
Ag 0.000 0.771 0.500
Ag 0.229 0.229 0.500
Ag 0.771 0.000 0.500
Pd 0.333 0.667 0.500
Pd 0.667 0.333 0.500

***

# 4
The following is a DFT calculation (PBE-GGA) of a relaxed K2RbSr crystal.

Summary:
symmetry	No. 123
polymorph energy (0 for the lowest one)	32.1	meV/atom
formation energy	100	meV per atom
E_tot	-1.111	eV/atom

Cell: 7.585 7.585 4.879 Å, 90.00 90.00 90.00°
Atoms (fractional coordinates):
K 0.000 0.500 0.000
K 0.500 0.000 0.000
Rb 0.000 0.000 0.500
Sr 0.500 0.500 0.500

***

# 5
The following is a DFT calculation (PBE-GGA) of a relaxed Ca2BeSn crystal.

Summary:
symmetry	No. 225
polymorph energy (0 for the lowest one)	0.0	meV/atom
formation energy	-126	meV per atom
E_tot	-3.059	eV/atom

Cell: 5.233 5.233 5.233 Å, 60.00 60.00 60.00°
Atoms (fractional coordinates):
Ca 0.250 0.250 0.250
Ca 0.750 0.750 0.750
Be 0.000 0.000 0.000
Sn 0.500 0.500 0.500

***

# 6
The following is a DFT calculation (PBE-GGA) of a relaxed Tl5In4Sn4 crystal.

Summary:
symmetry	No. 87
formation energy	25	meV per atom
E_tot	-2.960	eV/atom

Cell: 9.200 9.200 9.200 Å, 93.83 93.83 150.05°
Atoms (fractional coordinates):
Tl 0.000 0.000 0.000
Tl 0.303 0.464 0.768
Tl 0.464 0.697 0.161
Tl 0.536 0.303 0.839
Tl 0.697 0.536 0.232
In 0.157 0.236 0.393
In 0.236 0.843 0.078
In 0.764 0.157 0.922
In 0.843 0.764 0.607
Sn 0.074 0.611 0.685
Sn 0.389 0.074 0.463
Sn 0.611 0.926 0.537
Sn 0.926 0.389 0.315

***

# 7
The following is a DFT calculation (PBE-GGA) of a relaxed FeReIr2 crystal.

Summary:
symmetry	No. 225
polymorph energy (0 for the lowest one)	614.1	meV/atom
formation energy	471	meV per atom
E_tot	-9.187	eV/atom

Cell: 4.305 4.305 4.305 Å, 60.00 60.00 60.00°
Atoms (fractional coordinates):
Fe 0.000 0.000 0.000
Re 0.500 0.500 0.500
Ir 0.250 0.250 0.250
Ir 0.750 0.750 0.750

***

# 8
The following is a DFT calculation (PBE-GGA) of a relaxed La4Sm2Sc crystal.

Summary:
symmetry	No. 65
polymorph energy (0 for the lowest one)	418.6	meV/atom
formation energy	457	meV per atom
E_tot	-4.611	eV/atom

Cell: 7.263 7.263 6.033 Å, 90.00 90.00 129.37°
Atoms (fractional coordinates):
La 0.133 0.867 0.000
La 0.312 0.688 0.500
La 0.688 0.312 0.500
La 0.867 0.133 0.000
Sm 0.390 0.610 0.000
Sm 0.610 0.390 0.000
Sc 0.000 0.000 0.500